[1]
Compound: HgTeIr
Source: OQMD via LeMat-Bulk
Functional: PBE-GGA
Structure: relaxed

## Properties
ρ in g/cm³: 12.65
Energy relative to the lowest polymorph listed for this composition in meV/atom: 0

```
data_HgTeIr
_chemical_formula_sum 'Hg4 Te4 Ir4'
_cell_length_a 6.4885
_cell_length_b 6.4885
_cell_length_c 6.4885
_cell_angle_alpha 90.00
_cell_angle_beta 90.00
_cell_angle_gamma 90.00
_symmetry_space_group_name_H-M 'F -4 3 m'
_symmetry_Int_Tables_number 216
_symmetry_space_group_name_Hall 'F -4 2 3'
loop_
_atom_site_label
_atom_site_type_symbol
_atom_site_fract_x
_atom_site_fract_y
_atom_site_fract_z
Hg1 Hg 0.0000 0.0000 0.0000
Te1 Te 0.0000 0.0000 0.5000
Ir1 Ir 0.2500 0.2500 0.2500
```


[2]
Compound: YEr2Tm3CuSe2
Source: OQMD via LeMat-Bulk
Functional: PBE-GGA
Structure: relaxed

## Properties
Raw total energy in eV/atom: -5.12
ρ in g/cm³: 8.84

```
data_YEr2Tm3CuSe2
_chemical_formula_sum 'Y2 Er4 Tm6 Cu2 Se4'
_cell_length_a 3.8323
_cell_length_b 13.9491
_cell_length_c 8.0900
_cell_angle_alpha 90.00
_cell_angle_beta 90.00
_cell_angle_gamma 90.00
_symmetry_space_group_name_H-M 'A m m 2'
_symmetry_Int_Tables_number 38
loop_
_symmetry_equiv_pos_as_xyz
'x,y,z'
'-x,-y,z'
'-x,y,z'
'x,-y,z'
'x,y+1/2,z+1/2'
'-x,-y+1/2,z+1/2'
'-x,y+1/2,z+1/2'
'x,-y+1/2,z+1/2'
loop_
_atom_site_label
_atom_site_type_symbol
_atom_site_fract_x
_atom_site_fract_y
_atom_site_fract_z
Y1 Y 0.0000 0.0000 0.0000
Er1 Er 0.0000 0.2043 0.6135
Tm1 Tm 0.5000 0.0000 0.6560
Tm2 Tm 0.5000 0.1245 0.2860
Cu1 Cu 0.0000 0.0000 0.4100
Se1 Se 0.5000 0.1667 0.9092
```


[3]
Compound: ZrHgGe
Source: OQMD via LeMat-Bulk
Functional: PBE-GGA
Structure: relaxed

## Properties
Raw total energy in eV/atom: -4.45
ρ in g/cm³: 8.31

```
data_ZrHgGe
_chemical_formula_sum 'Zr4 Hg4 Ge4'
_cell_length_a 6.6294
_cell_length_b 6.6294
_cell_length_c 6.6294
_cell_angle_alpha 90.00
_cell_angle_beta 90.00
_cell_angle_gamma 90.00
_symmetry_space_group_name_H-M 'F -4 3 m'
_symmetry_Int_Tables_number 216
_symmetry_space_group_name_Hall 'F -4 2 3'
loop_
_atom_site_label
_atom_site_type_symbol
_atom_site_fract_x
_atom_site_fract_y
_atom_site_fract_z
Zr1 Zr 0.0000 0.0000 0.0000
Hg1 Hg 0.2500 0.2500 0.2500
Ge1 Ge 0.2500 0.2500 0.7500
```


[4]
Compound: GaCoTcPt
Source: OQMD via LeMat-Bulk
Functional: PBE-GGA
Structure: relaxed

## Properties
ρ in g/cm³: 12.60
Energy relative to the lowest polymorph listed for this composition in meV/atom: 0

```
data_GaCoTcPt
_chemical_formula_sum 'Ga4 Co4 Tc4 Pt4'
_cell_length_a 6.0583
_cell_length_b 6.0583
_cell_length_c 6.0583
_cell_angle_alpha 90.00
_cell_angle_beta 90.00
_cell_angle_gamma 90.00
_symmetry_space_group_name_H-M 'F -4 3 m'
_symmetry_Int_Tables_number 216
_symmetry_space_group_name_Hall 'F -4 2 3'
loop_
_atom_site_label
_atom_site_type_symbol
_atom_site_fract_x
_atom_site_fract_y
_atom_site_fract_z
Ga1 Ga 0.0000 0.0000 0.0000
Co1 Co 0.2500 0.2500 0.2500
Tc1 Tc 0.2500 0.2500 0.7500
Pt1 Pt 0.0000 0.0000 0.5000
```


[5]
Compound: AgPdAu2
Source: OQMD via LeMat-Bulk
Functional: PBE-GGA
Structure: relaxed

## Properties
ρ in g/cm³: 14.70
Energy relative to the lowest polymorph listed for this composition in meV/atom: 0
Formation enthalpy at 0 K in meV/atom: -101

```
data_AgPdAu2
_chemical_formula_sum 'Ag1 Pd1 Au2'
_cell_length_a 4.0826
_cell_length_b 4.0826
_cell_length_c 4.1233
_cell_angle_alpha 90.00
_cell_angle_beta 90.00
_cell_angle_gamma 90.00
_symmetry_space_group_name_H-M 'P 4/m m m'
_symmetry_Int_Tables_number 123
_symmetry_space_group_name_Hall '-P 4 2'
loop_
_atom_site_label
_atom_site_type_symbol
_atom_site_fract_x
_atom_site_fract_y
_atom_site_fract_z
Ag1 Ag 0.0000 0.0000 0.0000
Pd1 Pd 0.5000 0.5000 0.0000
Au1 Au 0.0000 0.5000 0.5000
```


[6]
Compound: RbNbCdTe3
Source: OQMD via LeMat-Bulk
Functional: PBE-GGA
Structure: relaxed

## Properties
ρ in g/cm³: 5.72
Energy relative to the lowest polymorph listed for this composition in meV/atom: 0

```
data_RbNbCdTe3
_chemical_formula_sum 'Rb2 Nb2 Cd2 Te6'
_cell_length_a 9.0949
_cell_length_b 4.1580
_cell_length_c 11.2162
_cell_angle_alpha 90.00
_cell_angle_beta 112.69
_cell_angle_gamma 90.00
_symmetry_space_group_name_H-M 'P 1 21/m 1'
_symmetry_Int_Tables_number 11
loop_
_symmetry_equiv_pos_as_xyz
'x,y,z'
'-x,-y,-z'
'-x,y+1/2,-z'
'x,-y+1/2,z'
loop_
_atom_site_label
_atom_site_type_symbol
_atom_site_fract_x
_atom_site_fract_y
_atom_site_fract_z
Rb1 Rb 0.2346 0.2500 0.2183
Nb1 Nb 0.1957 0.7500 0.6521
Cd1 Cd 0.4278 0.2500 0.8703
Te1 Te 0.0357 0.7500 0.3758
Te2 Te 0.2464 0.7500 0.9344
Te3 Te 0.4010 0.2500 0.6118
```